NaAc4Mn3O12 | GGA+U | optimized geometry

Results
* volume: 255.94 Å³/cell
* electronic total energy: -149.24 eV per cell

a b c (Å): 6.928 6.928 6.928
angles (deg): 109.47 109.47 109.47
Last column: magnetic moment on the atom in μB.
Fractional coordinates of all 20 atoms:
1 O 0.250 0.750 0.500  -0.06
2 O 0.750 0.500 0.250  -0.06
3 O 0.268 0.268 0.000  -0.02
4 O 0.732 0.732 0.000  -0.02
5 O 0.250 0.500 0.750  -0.06
6 O 0.500 0.750 0.250  -0.06
7 O 0.000 0.732 0.732  -0.02
8 O 0.750 0.250 0.500  -0.06
9 O 0.500 0.250 0.750  -0.06
10 O 0.000 0.268 0.268  -0.02
11 O 0.268 0.000 0.268  -0.02
12 O 0.732 0.000 0.732  -0.02
13 Ac 0.000 0.500 0.000  0.02
14 Ac 0.000 0.000 0.500  0.02
15 Ac 0.500 0.500 0.500  0.02
16 Ac 0.500 0.000 0.000  0.02
17 Na 0.000 0.000 0.000  -0.01
18 Mn 0.500 0.500 0.000  3.40
19 Mn 0.000 0.500 0.500  3.40
20 Mn 0.500 0.000 0.500  3.40